Na3Ac3NiO8 (PBE with a Hubbard U, optimized geometry); total energy = -5.91 eV/atom; DOS(E_F) = 9.541 states/eV/cell; space-group type = C2/m
1.0
6.0101 -3.6153 0.0000
6.0101 3.6153 0.0000
-3.6758 0.0000 5.8866
Na Ac Ni O
3 3 1 8
Direct
0.0000 0.0000 0.0000
0.0000 0.5000 0.5000
0.5000 0.0000 0.5000
0.0000 0.5000 0.0000
0.5000 0.0000 0.0000
0.5000 0.5000 0.5000
0.0000 0.0000 0.5000
0.2059 0.7831 0.2903
0.2169 0.7941 0.7097
0.2233 0.2233 0.7337
0.2595 0.2595 0.2474
0.7405 0.7405 0.7526
0.7767 0.7767 0.2663
0.7831 0.2059 0.2903
0.7941 0.2169 0.7097